Below is an optimized crystal structure of AcThGeS, with properties calculated at the PBE level.

The space group is R3m (No. 160, hexagonal axes) and the conventional cell measures 4.3568, 4.3568 and 20.9051 Å, with angles of 90.00, 90.00 and 120.00 degrees. The inequivalent atoms are Ac at (0.0000, 0.0000, 0.0000), Th at (0.0000, 0.0000, 0.5008), Ge at (0.0000, 0.0000, 0.7574) and S at (0.0000, 0.0000, 0.2435).

The density of states at the Fermi level comes out at 6.55 states/eV per cell. Its uncorrected formation energy is -1343 meV per atom. The total energy is -6.41 eV/atom. As for the total moment: 0.000 μB per atom.

Below is an optimized crystal structure of AcTl2GeS4, with properties calculated at the PBE level.

The space group is P2/m (No. 10) and the conventional cell measures 7.230, 4.244 and 7.497 Å, with angles of 90.00, 108.87 and 90.00 degrees. The inequivalent atoms are Ac at (0.000, 0.000, 0.000), Tl at (0.000, 0.500, 0.500), Tl at (0.500, 0.000, 0.500), Ge at (0.500, 0.500, 0.000), S at (0.261, 0.500, 0.216) and S at (0.286, 0.000, 0.793).

The density of states at the Fermi level comes out at 6.67 states/eV per cell. Its uncorrected formation energy is -769 meV per atom. The total energy is -4.51 eV/atom. As for the total moment: 0.000 μB per atom.

Below is an optimized crystal structure of AcTlGeS4, with properties calculated at the PBE level.

The space group is P2_1/m (No. 11) and the conventional cell measures 6.938, 6.730 and 8.869 Å, with angles of 90.00, 106.05 and 90.00 degrees. The inequivalent atoms are Ac at (0.241, 0.250, 0.059), Tl at (0.263, 0.250, 0.569), Ge at (0.217, 0.750, 0.810), S at (0.007, 0.008, 0.774), S at (0.393, 0.750, 0.066) and S at (0.412, 0.750, 0.652).

The density of states at the Fermi level comes out at 0.00 states/eV per cell. Its uncorrected formation energy is -1075 meV per atom. The total energy is -5.02 eV/atom. As for the total moment: 0.000 μB per atom.

Below is an optimized crystal structure of AcGe2Sb, with properties calculated at the PBE level.

The space group is R-3m (No. 166, hexagonal axes) and the conventional cell measures 4.9393, 4.9393 and 15.7407 Å, with angles of 90.00, 90.00 and 120.00 degrees. The inequivalent atoms are Ac at (0.0000, 0.0000, 0.0000), Ge at (0.0000, 0.0000, 0.2076) and Sb at (0.0000, 0.0000, 0.5000).

The density of states at the Fermi level comes out at 4.20 states/eV per cell. Its uncorrected formation energy is -307 meV per atom. The calculation puts the energy above the most stable polymorph in this dataset at 96.6 meV per atom. The total energy is -4.67 eV/atom. As for the total moment: 0.000 μB per atom.

Below is an optimized crystal structure of AcGeSb2, with properties calculated at the PBE level.

The space group is P4/mmm (No. 123) and the conventional cell measures 4.800, 4.800 and 4.862 Å, with angles of 90.00, 90.00 and 90.00 degrees. The inequivalent atoms are Ac at (0.000, 0.000, 0.000), Ge at (0.500, 0.500, 0.000) and Sb at (0.000, 0.500, 0.500).

The density of states at the Fermi level comes out at 1.91 states/eV per cell. Its uncorrected formation energy is -483 meV per atom. The calculation puts the energy above the most stable polymorph in this dataset at 0.0 meV per atom. The total energy is -4.73 eV/atom. As for the total moment: 0.000 μB per atom.

Below is an optimized crystal structure of AcGeSb4, with properties calculated at the PBE level.

The space group is F-43m (No. 216) and the conventional cell measures 8.903, 8.903 and 8.903 Å, with angles of 90.00, 90.00 and 90.00 degrees. The inequivalent atoms are Ac at (0.000, 0.000, 0.000), Ge at (0.250, 0.250, 0.750) and Sb at (0.123, 0.123, 0.377).

The density of states at the Fermi level comes out at 23.59 states/eV per cell. Its uncorrected formation energy is -53 meV per atom. The total energy is -4.26 eV/atom. As for the total moment: 0.000 μB per atom.

Below is an optimized crystal structure of Ac7Ge5Sb, with properties calculated at the PBE level.

The space group is Imm2 (No. 44) and the conventional cell measures 6.704, 12.039 and 10.877 Å, with angles of 90.00, 90.00 and 90.00 degrees. The inequivalent atoms are Ac at (0.000, 0.000, 0.000), Ac at (0.000, 0.000, 0.402), Ac at (0.000, 0.298, 0.699), Ac at (0.000, 0.336, 0.109), Ac at (0.000, 0.500, 0.370), Ge at (0.000, 0.500, 0.880), Ge at (0.192, 0.266, 0.422) and Sb at (0.000, 0.000, 0.699).

The density of states at the Fermi level comes out at 20.31 states/eV per cell. Its uncorrected formation energy is -530 meV per atom. The total energy is -4.84 eV/atom. As for the total moment: 0.000 μB per atom.

Below is an optimized crystal structure of AcGe2Sb, with properties calculated at the PBE level.

The space group is P4/mmm (No. 123) and the conventional cell measures 3.988, 3.988 and 6.625 Å, with angles of 90.00, 90.00 and 90.00 degrees. The inequivalent atoms are Ac at (0.000, 0.000, 0.000), Ge at (0.500, 0.500, 0.303) and Sb at (0.000, 0.000, 0.500).

The density of states at the Fermi level comes out at 2.19 states/eV per cell. Its uncorrected formation energy is -252 meV per atom. The calculation puts the energy above the most stable polymorph in this dataset at 151.0 meV per atom. The total energy is -4.62 eV/atom. As for the total moment: 0.000 μB per atom.